P | GGA-PBE AlSn3Te, relaxed; crystal system = cubic; space-group type = Pm-3m, No. 221; M_tot = 0.00 μB/cell
1.0
5.852 0.000 0.000
0.000 5.852 0.000
0.000 0.000 5.852
Al Sn Te
1 3 1
Direct
0.000 0.000 0.000
0.000 0.500 0.500
0.500 0.000 0.500
0.500 0.500 0.000
0.500 0.500 0.500

Q | GGA-PBE AlSn3Te, relaxed; crystal system = cubic; space-group type = Pm-3m, No. 221; M_tot = 0.00 μB/cell
1.0
5.336 0.000 0.000
0.000 5.336 0.000
0.000 0.000 5.336
Al Sn Te
1 3 1
Direct
0.000 0.000 0.000
0.000 0.000 0.500
0.000 0.500 0.000
0.500 0.000 0.000
0.500 0.500 0.500

Bottom line: Q, by a margin of 0.502 eV/atom.

P | GGA-PBE Ti4AlSn, relaxed; crystal system = monoclinic; space-group type = C2/c, No. 15; M_tot = 0.85 μB/cell
1.0
7.271 -2.638 0.000
7.271 2.638 0.000
-0.660 0.000 5.890
Ti Al Sn
8 2 2
Direct
0.023 0.827 0.589
0.173 0.977 0.911
0.177 0.500 0.917
0.500 0.177 0.417
0.500 0.823 0.583
0.823 0.500 0.083
0.827 0.023 0.089
0.977 0.173 0.411
0.000 0.500 0.500
0.500 0.000 0.000
0.401 0.599 0.250
0.599 0.401 0.750

Q | GGA-PBE Ti4AlSn, relaxed; crystal system = monoclinic; space-group type = C2/m, No. 12; M_tot = 0.00 μB/cell
1.0
4.962 -1.544 0.000
4.962 1.544 0.000
-2.760 0.000 6.878
Ti Al Sn
4 1 1
Direct
0.168 0.168 0.341
0.169 0.169 0.827
0.831 0.831 0.173
0.832 0.832 0.659
0.500 0.500 0.500
0.500 0.500 0.000

Bottom line: Q, by a margin of 0.352 eV/atom.

P | GGA-PBE Ti2AlSn2, relaxed; crystal system = tetragonal; space-group type = P4/mbm, No. 127; M_tot = 0.00 μB/cell
1.0
7.233 0.000 0.000
0.000 7.233 0.000
0.000 0.000 3.810
Ti Al Sn
4 2 4
Direct
0.152 0.348 0.000
0.348 0.848 0.000
0.652 0.152 0.000
0.848 0.652 0.000
0.000 0.000 0.500
0.500 0.500 0.500
0.147 0.647 0.500
0.353 0.147 0.500
0.647 0.853 0.500
0.853 0.353 0.500

Q | GGA-PBE Ti2AlSn2, relaxed; crystal system = tetragonal; space-group type = P4/mbm, No. 127; M_tot = 0.00 μB/cell
1.0
6.957 0.000 0.000
0.000 6.957 0.000
0.000 0.000 4.130
Ti Al Sn
4 2 4
Direct
0.148 0.352 0.000
0.352 0.852 0.000
0.648 0.148 0.000
0.852 0.648 0.000
0.000 0.000 0.000
0.500 0.500 0.000
0.160 0.660 0.500
0.340 0.160 0.500
0.660 0.840 0.500
0.840 0.340 0.500

Bottom line: Q, by a margin of 0.154 eV/atom.

P | GGA-PBE AlTlSn2, relaxed; crystal system = cubic; space-group type = Fm-3m, No. 225; M_tot = 0.00 μB/cell
1.0
0.000 3.736 3.736
3.736 0.000 3.736
3.736 3.736 0.000
Al Tl Sn
1 1 2
Direct
0.000 0.000 0.000
0.500 0.500 0.500
0.250 0.250 0.250
0.750 0.750 0.750

Q | GGA-PBE AlTlSn2, relaxed; crystal system = tetragonal; space-group type = P4/mmm, No. 123; M_tot = 0.00 μB/cell
1.0
4.692 0.000 0.000
0.000 4.692 0.000
0.000 0.000 4.779
Al Tl Sn
1 1 2
Direct
0.000 0.000 0.000
0.500 0.500 0.000
0.000 0.500 0.500
0.500 0.000 0.500

R | GGA-PBE AlTlSn2, relaxed; crystal system = trigonal; space-group type = R-3m, No. 166; M_tot = 0.00 μB/cell
1.0
2.086 1.204 7.472
-2.086 1.204 7.472
0.000 -2.409 7.472
Al Tl Sn
1 1 2
Direct
0.000 0.000 0.000
0.500 0.500 0.500
0.267 0.267 0.267
0.733 0.733 0.733

Bottom line: R, by a margin of 0.031 eV/atom.

P | GGA-PBE Al2Tl2Sn, relaxed; crystal system = tetragonal; space-group type = P4/mbm, No. 127; M_tot = 0.00 μB/cell
1.0
8.896 0.000 0.000
0.000 8.896 0.000
0.000 0.000 3.227
Al Tl Sn
4 4 2
Direct
0.112 0.388 0.000
0.388 0.888 0.000
0.612 0.112 0.000
0.888 0.612 0.000
0.183 0.683 0.500
0.317 0.183 0.500
0.683 0.817 0.500
0.817 0.317 0.500
0.000 0.000 0.500
0.500 0.500 0.500

Q | GGA-PBE Al2Tl2Sn, relaxed; crystal system = tetragonal; space-group type = P4/mbm, No. 127; M_tot = 0.00 μB/cell
1.0
7.412 0.000 0.000
0.000 7.412 0.000
0.000 0.000 4.670
Al Tl Sn
4 4 2
Direct
0.128 0.372 0.000
0.372 0.872 0.000
0.628 0.128 0.000
0.872 0.628 0.000
0.180 0.680 0.500
0.320 0.180 0.500
0.680 0.820 0.500
0.820 0.320 0.500
0.000 0.000 0.000
0.500 0.500 0.000

Bottom line: Q, by a margin of 0.125 eV/atom.

P | GGA-PBE Al2TlSn2, relaxed; crystal system = tetragonal; space-group type = I4/mmm, No. 139; M_tot = 0.00 μB/cell
1.0
-2.420 2.420 5.697
2.420 -2.420 5.697
2.420 2.420 -5.697
Al Tl Sn
2 1 2
Direct
0.113 0.113 0.000
0.887 0.887 0.000
0.500 0.500 0.000
0.250 0.750 0.500
0.750 0.250 0.500

Q | GGA-PBE Al2TlSn2, relaxed; crystal system = tetragonal; space-group type = P4/mbm, No. 127; M_tot = 0.00 μB/cell
1.0
8.281 0.000 0.000
0.000 8.281 0.000
0.000 0.000 3.571
Al Tl Sn
4 2 4
Direct
0.125 0.375 0.000
0.375 0.875 0.000
0.625 0.125 0.000
0.875 0.625 0.000
0.000 0.000 0.000
0.500 0.500 0.000
0.165 0.665 0.500
0.335 0.165 0.500
0.665 0.835 0.500
0.835 0.335 0.500

Bottom line: P, by a margin of 0.027 eV/atom.

P | GGA-PBE Al2TlSn, relaxed; crystal system = cubic; space-group type = Fm-3m, No. 225; M_tot = 0.00 μB/cell
1.0
0.000 3.612 3.612
3.612 0.000 3.612
3.612 3.612 0.000
Al Tl Sn
2 1 1
Direct
0.250 0.250 0.250
0.750 0.750 0.750
0.000 0.000 0.000
0.500 0.500 0.500

Q | GGA-PBE Al2TlSn, relaxed; crystal system = tetragonal; space-group type = I-42d, No. 122; M_tot = 0.00 μB/cell
1.0
-3.989 3.989 3.065
3.989 -3.989 3.065
3.989 3.989 -3.065
Al Tl Sn
4 2 2
Direct
0.108 0.625 0.983
0.375 0.358 0.483
0.642 0.125 0.017
0.875 0.892 0.517
0.250 0.750 0.500
0.500 0.500 0.000
0.000 0.000 0.000
0.750 0.250 0.500

Bottom line: P, by a margin of 0.028 eV/atom.

P | GGA-PBE Al2V2Sn, relaxed; crystal system = tetragonal; space-group type = P4/mbm, No. 127; M_tot = 1.21 μB/cell
1.0
6.967 0.000 0.000
0.000 6.967 0.000
0.000 0.000 3.290
Al V Sn
4 4 2
Direct
0.125 0.375 0.000
0.375 0.875 0.000
0.625 0.125 0.000
0.875 0.625 0.000
0.172 0.672 0.500
0.328 0.172 0.500
0.672 0.828 0.500
0.828 0.328 0.500
0.000 0.000 0.000
0.500 0.500 0.000

Q | GGA-PBE Al2V2Sn, relaxed; crystal system = tetragonal; space-group type = P4/mbm, No. 127; M_tot = 0.00 μB/cell
1.0
6.779 0.000 0.000
0.000 6.779 0.000
0.000 0.000 3.683
Al V Sn
4 4 2
Direct
0.160 0.340 0.000
0.340 0.840 0.000
0.660 0.160 0.000
0.840 0.660 0.000
0.128 0.628 0.500
0.372 0.128 0.500
0.628 0.872 0.500
0.872 0.372 0.500
0.000 0.000 0.500
0.500 0.500 0.500

Bottom line: Q, by a margin of 0.107 eV/atom.

P | GGA-PBE AlV6Sn, relaxed; crystal system = orthorhombic; space-group type = Amm2, No. 38; M_tot = 0.00 μB/cell
1.0
4.356 0.000 0.000
0.000 2.985 4.520
0.000 -2.985 4.520
Al V Sn
1 6 1
Direct
0.000 0.000 0.000
0.000 0.518 0.518
0.000 0.524 0.978
0.000 0.978 0.524
0.500 0.297 0.792
0.500 0.780 0.780
0.500 0.792 0.297
0.500 0.298 0.298

Q | GGA-PBE AlV6Sn, relaxed; crystal system = cubic; space-group type = Pm-3, No. 200; M_tot = 1.91 μB/cell
1.0
4.891 0.000 0.000
0.000 4.891 0.000
0.000 0.000 4.891
Al V Sn
1 6 1
Direct
0.000 0.000 0.000
0.000 0.237 0.500
0.000 0.763 0.500
0.237 0.500 0.000
0.500 0.000 0.237
0.500 0.000 0.763
0.763 0.500 0.000
0.500 0.500 0.500

Bottom line: P, by a margin of 0.005 eV/atom.

P | GGA-PBE Y2AlSn2, relaxed; crystal system = tetragonal; space-group type = P4/mbm, No. 127; M_tot = 0.00 μB/cell
1.0
7.457 0.000 0.000
0.000 7.457 0.000
0.000 0.000 4.591
Y Al Sn
4 2 4
Direct
0.173 0.327 0.000
0.327 0.827 0.000
0.673 0.173 0.000
0.827 0.673 0.000
0.000 0.000 0.500
0.500 0.500 0.500
0.137 0.637 0.500
0.363 0.137 0.500
0.637 0.863 0.500
0.863 0.363 0.500

Q | GGA-PBE Y2AlSn2, relaxed; crystal system = tetragonal; space-group type = P4/mbm, No. 127; M_tot = 0.00 μB/cell
1.0
7.848 0.000 0.000
0.000 7.848 0.000
0.000 0.000 4.479
Y Al Sn
4 2 4
Direct
0.167 0.333 0.000
0.333 0.833 0.000
0.667 0.167 0.000
0.833 0.667 0.000
0.000 0.000 0.000
0.500 0.500 0.000
0.138 0.638 0.500
0.362 0.138 0.500
0.638 0.862 0.500
0.862 0.362 0.500

Bottom line: P, by a margin of 0.193 eV/atom.

P | GGA-PBE AlZn3Sn, relaxed; crystal system = cubic; space-group type = Pm-3m, No. 221; M_tot = 0.00 μB/cell
1.0
5.184 0.000 0.000
0.000 5.184 0.000
0.000 0.000 5.184
Al Zn Sn
1 3 1
Direct
0.000 0.000 0.000
0.000 0.500 0.500
0.500 0.000 0.500
0.500 0.500 0.000
0.500 0.500 0.500

Q | GGA-PBE AlZn3Sn, relaxed; crystal system = cubic; space-group type = Pm-3m, No. 221; M_tot = 0.00 μB/cell
1.0
4.866 0.000 0.000
0.000 4.866 0.000
0.000 0.000 4.866
Al Zn Sn
1 3 1
Direct
0.000 0.000 0.000
0.000 0.000 0.500
0.000 0.500 0.000
0.500 0.000 0.000
0.500 0.500 0.500

Bottom line: Q, by a margin of 0.232 eV/atom.

P | GGA-PBE AlZnSn2, relaxed; crystal system = trigonal; space-group type = R3m, No. 160; M_tot = 0.00 μB/cell
1.0
2.180 1.259 5.858
-2.180 1.259 5.858
0.000 -2.518 5.858
Al Zn Sn
1 1 2
Direct
0.000 0.000 0.000
0.160 0.160 0.160
0.412 0.412 0.412
0.582 0.582 0.582

Q | GGA-PBE AlZnSn2, relaxed; crystal system = trigonal; space-group type = R-3m, No. 166; M_tot = 0.00 μB/cell
1.0
1.622 0.936 10.199
-1.622 0.936 10.199
0.000 -1.872 10.199
Al Zn Sn
1 1 2
Direct
0.000 0.000 0.000
0.500 0.500 0.500
0.093 0.093 0.093
0.907 0.907 0.907

R | GGA-PBE AlZnSn2, relaxed; crystal system = cubic; space-group type = Fm-3m, No. 225; M_tot = 0.00 μB/cell
1.0
0.000 3.551 3.551
3.551 0.000 3.551
3.551 3.551 0.000
Al Zn Sn
1 1 2
Direct
0.000 0.000 0.000
0.500 0.500 0.500
0.250 0.250 0.250
0.750 0.750 0.750

Bottom line: P, by a margin of 0.032 eV/atom.